Sr2Hg5Pd4: optimized geometry, PBE-GGA.

CIF file:
```
data_Sr2Hg5Pd4
_chemical_formula_sum 'Sr4 Hg10 Pd8'
_cell_length_a 5.9003
_cell_length_b 9.2845
_cell_length_c 9.4244
_cell_angle_alpha 90.00
_cell_angle_beta 90.00
_cell_angle_gamma 90.00
_symmetry_space_group_name_H-M 'I m m m'
_symmetry_Int_Tables_number 71
_symmetry_space_group_name_Hall '-I 2 2'
loop_
_atom_site_label
_atom_site_fract_x
_atom_site_fract_y
_atom_site_fract_z
Sr1 0.0000 0.2325 0.0000
Hg1 0.0000 0.5000 0.5000
Hg2 0.2467 0.0000 0.2934
Pd1 0.0000 0.2567 0.3300
```

Calculated values
E above lowest polymorph: 0.0 kJ per mole of atoms
E_form: -0.374 eV per atom
Volume: 516.3 Å³/cell
Electronic total energy: -59.5 eV/cell


SrHg5Pd: optimized geometry, PBE-GGA.

CIF file:
```
data_SrHg5Pd
_chemical_formula_sum 'Sr1 Hg5 Pd1'
_cell_length_a 4.9144
_cell_length_b 4.9144
_cell_length_c 7.5964
_cell_angle_alpha 90.00
_cell_angle_beta 90.00
_cell_angle_gamma 90.00
_symmetry_space_group_name_H-M 'P 4/m m m'
_symmetry_Int_Tables_number 123
_symmetry_space_group_name_Hall '-P 4 2'
loop_
_atom_site_label
_atom_site_fract_x
_atom_site_fract_y
_atom_site_fract_z
Sr1 0.0000 0.0000 0.0000
Hg1 0.0000 0.5000 0.3010
Hg2 0.5000 0.5000 0.0000
Pd1 0.0000 0.0000 0.5000
```

Calculated values
E_form: -0.295 eV per atom
Volume: 183.5 Å³/cell
Electronic total energy: -10.4 eV/cell


SrHg2Pd3: optimized geometry, PBE-GGA.

CIF file:
```
data_SrHg2Pd3
_chemical_formula_sum 'Sr1 Hg2 Pd3'
_cell_length_a 5.8167
_cell_length_b 5.8167
_cell_length_c 4.4432
_cell_angle_alpha 90.00
_cell_angle_beta 90.00
_cell_angle_gamma 120.00
_symmetry_space_group_name_H-M 'P 6/m m m'
_symmetry_Int_Tables_number 191
_symmetry_space_group_name_Hall '-P 6 2'
loop_
_atom_site_label
_atom_site_fract_x
_atom_site_fract_y
_atom_site_fract_z
Sr1 0.0000 0.0000 0.0000
Hg1 0.3333 0.6667 0.0000
Pd1 0.0000 0.5000 0.5000
```

Calculated values
E above lowest polymorph: 0.0 kJ per mole of atoms
E_form: -0.465 eV per atom
Volume: 130.2 Å³/cell
Electronic total energy: -20.7 eV/cell


SrHg8Pd4: optimized geometry, PBE-GGA.

CIF file:
```
data_SrHg8Pd4
_chemical_formula_sum 'Sr2 Hg16 Pd8'
_cell_length_a 9.7859
_cell_length_b 9.7859
_cell_length_c 5.8352
_cell_angle_alpha 90.00
_cell_angle_beta 90.00
_cell_angle_gamma 90.00
_symmetry_space_group_name_H-M 'I 4/m m m'
_symmetry_Int_Tables_number 139
_symmetry_space_group_name_Hall '-I 4 2'
loop_
_atom_site_label
_atom_site_fract_x
_atom_site_fract_y
_atom_site_fract_z
Sr1 0.0000 0.0000 0.0000
Hg1 0.0000 0.2202 0.5000
Hg2 0.0000 0.3353 0.0000
Pd1 0.2500 0.2500 0.2500
```

Calculated values
E_form: -0.239 eV per atom
Volume: 558.8 Å³/cell
Electronic total energy: -56.0 eV/cell


Sr3Hg2Pd: optimized geometry, PBE-GGA.

CIF file:
```
data_Sr3Hg2Pd
_chemical_formula_sum 'Sr12 Hg8 Pd4'
_cell_length_a 5.5429
_cell_length_b 16.6497
_cell_length_c 7.8172
_cell_angle_alpha 90.00
_cell_angle_beta 90.00
_cell_angle_gamma 90.00
_symmetry_space_group_name_H-M 'C m m m'
_symmetry_Int_Tables_number 65
_symmetry_space_group_name_Hall '-C 2 2'
loop_
_atom_site_label
_atom_site_fract_x
_atom_site_fract_y
_atom_site_fract_z
Sr1 0.0000 0.0000 0.2430
Sr2 0.0000 0.3291 0.2371
Hg1 0.0000 0.1658 0.5000
Hg2 0.0000 0.5000 0.0000
Hg3 0.0000 0.5000 0.5000
Pd1 0.0000 0.1622 0.0000
```

Calculated values
E_form: -0.516 eV per atom
Volume: 721.4 Å³/cell
Electronic total energy: -55.7 eV/cell


Sr4HgPd: optimized geometry, PBE-GGA.

CIF file:
```
data_Sr4HgPd
_chemical_formula_sum 'Sr16 Hg4 Pd4'
_cell_length_a 9.3250
_cell_length_b 13.8175
_cell_length_c 7.2355
_cell_angle_alpha 90.00
_cell_angle_beta 104.61
_cell_angle_gamma 90.00
_symmetry_space_group_name_H-M 'C 1 2/c 1'
_symmetry_Int_Tables_number 15
_symmetry_space_group_name_Hall '-C 2yc'
loop_
_atom_site_label
_atom_site_fract_x
_atom_site_fract_y
_atom_site_fract_z
Sr1 0.0998 0.1707 0.0323
Sr2 0.2030 0.4241 0.4296
Hg1 0.0000 0.3699 0.7500
Pd1 0.0000 0.0014 0.2500
```

Calculated values
E above lowest polymorph: 0.0 kJ per mole of atoms
E_form: -0.398 eV per atom
Volume: 902.1 Å³/cell
Electronic total energy: -58.4 eV/cell


Which value of volume does entry 1 give? 516.3 Å³/cell


Copy entry 5 word for word.
Sr3Hg2Pd: optimized geometry, PBE-GGA.

CIF file:
```
data_Sr3Hg2Pd
_chemical_formula_sum 'Sr12 Hg8 Pd4'
_cell_length_a 5.5429
_cell_length_b 16.6497
_cell_length_c 7.8172
_cell_angle_alpha 90.00
_cell_angle_beta 90.00
_cell_angle_gamma 90.00
_symmetry_space_group_name_H-M 'C m m m'
_symmetry_Int_Tables_number 65
_symmetry_space_group_name_Hall '-C 2 2'
loop_
_atom_site_label
_atom_site_fract_x
_atom_site_fract_y
_atom_site_fract_z
Sr1 0.0000 0.0000 0.2430
Sr2 0.0000 0.3291 0.2371
Hg1 0.0000 0.1658 0.5000
Hg2 0.0000 0.5000 0.0000
Hg3 0.0000 0.5000 0.5000
Pd1 0.0000 0.1622 0.0000
```

Calculated values
E_form: -0.516 eV per atom
Volume: 721.4 Å³/cell
Electronic total energy: -55.7 eV/cell


Among the records above, which one has the lowest electronic total energy? Sr2Hg5Pd4